The following is a DFT calculation (PBE) of KTa2Pb after structural relaxation.

```
data_KTa2Pb
_space_group_name_H-M_alt 'I m m m'
_space_group_IT_number 71
_space_group_name_Hall '-I 2 2'
_cell_length_a 2.935
_cell_length_b 5.548
_cell_length_c 11.976
_cell_angle_alpha 90.00
_cell_angle_beta 90.00
_cell_angle_gamma 90.00
loop_
_atom_site_label
_atom_site_type_symbol
_atom_site_fract_x
_atom_site_fract_y
_atom_site_fract_z
K1 K 0.000 0.000 0.000
Ta1 Ta 0.000 0.500 0.217
Pb1 Pb 0.000 0.000 0.500
```

Computed properties:
Crystal system   orthorhombic
DOS at the Fermi energy   0.84 states/eV per atom
Total magnetization   0.000 μB/cell
Mass density   10358 kg/m3
Formation energy   0.9803 eV per atom

The following is a DFT calculation (PBE) of KTa2Pb after structural relaxation.

```
data_KTa2Pb
_space_group_name_H-M_alt 'P m m m'
_space_group_IT_number 47
_space_group_name_Hall '-P 2 2'
_cell_length_a 3.050
_cell_length_b 4.785
_cell_length_c 7.709
_cell_angle_alpha 90.00
_cell_angle_beta 90.00
_cell_angle_gamma 90.00
loop_
_atom_site_label
_atom_site_type_symbol
_atom_site_fract_x
_atom_site_fract_y
_atom_site_fract_z
K1 K 0.000 0.000 0.000
Ta1 Ta 0.500 0.500 0.338
Pb1 Pb 0.000 0.000 0.500
```

Computed properties:
Crystal system   orthorhombic
DOS at the Fermi energy   1.07 states/eV per atom
Total magnetization   0.000 μB/cell
Mass density   8975 kg/m3
Formation energy   1.0797 eV per atom

The following is a DFT calculation (PBE) of K2TaPb after structural relaxation.

```
data_K2TaPb
_space_group_name_H-M_alt 'P 4/m m m'
_space_group_IT_number 123
_space_group_name_Hall '-P 4 2'
_cell_length_a 6.702
_cell_length_b 6.702
_cell_length_c 3.079
_cell_angle_alpha 90.00
_cell_angle_beta 90.00
_cell_angle_gamma 90.00
loop_
_atom_site_label
_atom_site_type_symbol
_atom_site_fract_x
_atom_site_fract_y
_atom_site_fract_z
K1 K 0.000 0.500 0.000
Ta1 Ta 0.000 0.000 0.500
Pb1 Pb 0.500 0.500 0.500
```

Computed properties:
Crystal system   tetragonal
DOS at the Fermi energy   1.11 states/eV per atom
Total magnetization   2.350 μB/cell
Mass density   5600 kg/m3
Formation energy   1.1869 eV per atom

The following is a DFT calculation (PBE) of K2TaPb2 after structural relaxation.

```
data_K2TaPb2
_space_group_name_H-M_alt 'I 4/m m m'
_space_group_IT_number 139
_space_group_name_Hall '-I 4 2'
_cell_length_a 4.155
_cell_length_b 4.155
_cell_length_c 16.607
_cell_angle_alpha 90.00
_cell_angle_beta 90.00
_cell_angle_gamma 90.00
loop_
_atom_site_label
_atom_site_type_symbol
_atom_site_fract_x
_atom_site_fract_y
_atom_site_fract_z
K1 K 0.000 0.500 0.250
Ta1 Ta 0.000 0.000 0.000
Pb1 Pb 0.000 0.000 0.412
```

Computed properties:
Relative energy among the computed polymorphs   356 meV/atom
Crystal system   tetragonal
DOS at the Fermi energy   0.87 states/eV per atom
Total magnetization   3.198 μB/cell
Mass density   7802 kg/m3
Formation energy   0.8550 eV per atom

The following is a DFT calculation (PBE) of KTa2Pb after structural relaxation.

```
data_KTa2Pb
_space_group_name_H-M_alt 'P 4 m m'
_space_group_IT_number 99
_space_group_name_Hall 'P 4 -2'
_cell_length_a 3.514
_cell_length_b 3.514
_cell_length_c 8.744
_cell_angle_alpha 90.00
_cell_angle_beta 90.00
_cell_angle_gamma 90.00
loop_
_atom_site_label
_atom_site_type_symbol
_atom_site_fract_x
_atom_site_fract_y
_atom_site_fract_z
K1 K 0.000 0.000 0.000
Ta1 Ta 0.000 0.000 0.529
Ta2 Ta 0.500 0.500 0.663
Pb1 Pb 0.500 0.500 0.307
```

Computed properties:
Crystal system   tetragonal
DOS at the Fermi energy   0.93 states/eV per atom
Total magnetization   0.000 μB/cell
Mass density   9353 kg/m3
Formation energy   0.5065 eV per atom

The following is a DFT calculation (PBE) of KTa2Pb after structural relaxation.

```
data_KTa2Pb
_space_group_name_H-M_alt 'R -3 m'
_space_group_IT_number 166
_space_group_name_Hall '-R 3 2"'
_cell_length_a 3.0932
_cell_length_b 3.0932
_cell_length_c 34.6891
_cell_angle_alpha 90.00
_cell_angle_beta 90.00
_cell_angle_gamma 120.00
loop_
_atom_site_label
_atom_site_type_symbol
_atom_site_fract_x
_atom_site_fract_y
_atom_site_fract_z
K1 K 0.0000 0.0000 0.0000
Ta1 Ta 0.0000 0.0000 0.2392
Pb1 Pb 0.0000 0.0000 0.5000
```

Computed properties:
Crystal system   trigonal
DOS at the Fermi energy   1.28 states/eV per atom
Total magnetization   0.002 μB/cell
Mass density   10541 kg/m3
Formation energy   1.0172 eV per atom

The following is a DFT calculation (PBE) of K2TaPb after structural relaxation.

```
data_K2TaPb
_space_group_name_H-M_alt 'R -3 m'
_space_group_IT_number 166
_space_group_name_Hall '-R 3 2"'
_cell_length_a 3.2626
_cell_length_b 3.2626
_cell_length_c 38.3533
_cell_angle_alpha 90.00
_cell_angle_beta 90.00
_cell_angle_gamma 120.00
loop_
_atom_site_label
_atom_site_type_symbol
_atom_site_fract_x
_atom_site_fract_y
_atom_site_fract_z
K1 K 0.0000 0.0000 0.2489
Ta1 Ta 0.0000 0.0000 0.5000
Pb1 Pb 0.0000 0.0000 0.0000
```

Computed properties:
Crystal system   trigonal
DOS at the Fermi energy   0.70 states/eV per atom
Total magnetization   2.069 μB/cell
Mass density   6571 kg/m3
Formation energy   0.8623 eV per atom

The following is a DFT calculation (PBE) of KTaPb2 after structural relaxation.

```
data_KTaPb2
_space_group_name_H-M_alt 'C 1 2/m 1'
_space_group_IT_number 12
_space_group_name_Hall '-C 2y'
_cell_length_a 9.565
_cell_length_b 3.257
_cell_length_c 7.690
_cell_angle_alpha 90.00
_cell_angle_beta 97.34
_cell_angle_gamma 90.00
loop_
_atom_site_label
_atom_site_type_symbol
_atom_site_fract_x
_atom_site_fract_y
_atom_site_fract_z
K1 K 0.000 0.000 0.000
Ta1 Ta 0.000 0.500 0.500
Pb1 Pb 0.237 0.000 0.688
```

Computed properties:
Relative energy among the computed polymorphs   212 meV/atom
Crystal system   monoclinic
DOS at the Fermi energy   0.74 states/eV per atom
Total magnetization   1.265 μB/cell
Mass density   8870 kg/m3
Formation energy   0.4576 eV per atom

The following is a DFT calculation (PBE) of K2TaPb2 after structural relaxation.

```
data_K2TaPb2
_space_group_name_H-M_alt 'P 4/m b m'
_space_group_IT_number 127
_space_group_name_Hall '-P 4 2ab'
_cell_length_a 7.792
_cell_length_b 7.792
_cell_length_c 6.164
_cell_angle_alpha 90.00
_cell_angle_beta 90.00
_cell_angle_gamma 90.00
loop_
_atom_site_label
_atom_site_type_symbol
_atom_site_fract_x
_atom_site_fract_y
_atom_site_fract_z
K1 K 0.159 0.341 0.000
Ta1 Ta 0.000 0.000 0.500
Pb1 Pb 0.196 0.696 0.500
```

Computed properties:
Relative energy among the computed polymorphs   0 meV/atom
Crystal system   tetragonal
DOS at the Fermi energy   0.76 states/eV per atom
Total magnetization   2.406 μB/cell
Mass density   5977 kg/m3
Formation energy   0.4994 eV per atom

The following is a DFT calculation (PBE) of KTa2Pb after structural relaxation.

```
data_KTa2Pb
_space_group_name_H-M_alt 'I 4/m m m'
_space_group_IT_number 139
_space_group_name_Hall '-I 4 2'
_cell_length_a 4.280
_cell_length_b 4.280
_cell_length_c 10.145
_cell_angle_alpha 90.00
_cell_angle_beta 90.00
_cell_angle_gamma 90.00
loop_
_atom_site_label
_atom_site_type_symbol
_atom_site_fract_x
_atom_site_fract_y
_atom_site_fract_z
K1 K 0.000 0.000 0.000
Ta1 Ta 0.000 0.500 0.250
Pb1 Pb 0.000 0.000 0.500
```

Computed properties:
Crystal system   tetragonal
DOS at the Fermi energy   1.18 states/eV per atom
Total magnetization   0.001 μB/cell
Mass density   10869 kg/m3
Formation energy   1.2888 eV per atom

The following is a DFT calculation (PBE) of KTaPb2 after structural relaxation.

```
data_KTaPb2
_space_group_name_H-M_alt 'F m -3 m'
_space_group_IT_number 225
_space_group_name_Hall '-F 4 2 3'
_cell_length_a 7.541
_cell_length_b 7.541
_cell_length_c 7.541
_cell_angle_alpha 90.00
_cell_angle_beta 90.00
_cell_angle_gamma 90.00
loop_
_atom_site_label
_atom_site_type_symbol
_atom_site_fract_x
_atom_site_fract_y
_atom_site_fract_z
K1 K 0.000 0.000 0.000
Ta1 Ta 0.000 0.000 0.500
Pb1 Pb 0.250 0.250 0.250
```

Computed properties:
Relative energy among the computed polymorphs   510 meV/atom
Crystal system   cubic
DOS at the Fermi energy   1.01 states/eV per atom
Total magnetization   9.041 μB/cell
Mass density   9827 kg/m3
Formation energy   0.7558 eV per atom

The following is a DFT calculation (PBE) of KTaPb2 after structural relaxation.

```
data_KTaPb2
_space_group_name_H-M_alt 'R -3 m'
_space_group_IT_number 166
_space_group_name_Hall '-R 3 2"'
_cell_length_a 3.3941
_cell_length_b 3.3941
_cell_length_c 32.2318
_cell_angle_alpha 90.00
_cell_angle_beta 90.00
_cell_angle_gamma 120.00
loop_
_atom_site_label
_atom_site_type_symbol
_atom_site_fract_x
_atom_site_fract_y
_atom_site_fract_z
K1 K 0.0000 0.0000 0.0000
Ta1 Ta 0.0000 0.0000 0.5000
Pb1 Pb 0.0000 0.0000 0.2399
```

Computed properties:
Relative energy among the computed polymorphs   84 meV/atom
Crystal system   trigonal
DOS at the Fermi energy   1.10 states/eV per atom
Total magnetization   0.000 μB/cell
Mass density   9829 kg/m3
Formation energy   0.3295 eV per atom

The following is a DFT calculation (PBE) of KTaPb2 after structural relaxation.

```
data_KTaPb2
_space_group_name_H-M_alt 'C 1 2/m 1'
_space_group_IT_number 12
_space_group_name_Hall '-C 2y'
_cell_length_a 7.382
_cell_length_b 9.132
_cell_length_c 3.149
_cell_angle_alpha 90.00
_cell_angle_beta 98.42
_cell_angle_gamma 90.00
loop_
_atom_site_label
_atom_site_type_symbol
_atom_site_fract_x
_atom_site_fract_y
_atom_site_fract_z
K1 K 0.000 0.000 0.000
Ta1 Ta 0.000 0.500 0.000
Pb1 Pb 0.250 0.250 0.500
```

Computed properties:
Relative energy among the computed polymorphs   434 meV/atom
Crystal system   monoclinic
DOS at the Fermi energy   0.81 states/eV per atom
Total magnetization   0.031 μB/cell
Mass density   10036 kg/m3
Formation energy   0.6799 eV per atom

The following is a DFT calculation (PBE) of KTa2Pb after structural relaxation.

```
data_KTa2Pb
_space_group_name_H-M_alt 'I m m 2'
_space_group_IT_number 44
_space_group_name_Hall 'I 2 -2'
_cell_length_a 3.028
_cell_length_b 5.968
_cell_length_c 11.772
_cell_angle_alpha 90.00
_cell_angle_beta 90.00
_cell_angle_gamma 90.00
loop_
_atom_site_label
_atom_site_type_symbol
_atom_site_fract_x
_atom_site_fract_y
_atom_site_fract_z
K1 K 0.000 0.000 0.000
Ta1 Ta 0.000 0.000 0.520
Ta2 Ta 0.000 0.500 0.203
Pb1 Pb 0.000 0.500 0.786
```

Computed properties:
Crystal system   orthorhombic
DOS at the Fermi energy   0.77 states/eV per atom
Total magnetization   0.800 μB/cell
Mass density   9494 kg/m3
Formation energy   1.0212 eV per atom

The following is a DFT calculation (PBE) of K2TaPb after structural relaxation.

```
data_K2TaPb
_space_group_name_H-M_alt 'C m m 2'
_space_group_IT_number 35
_space_group_name_Hall 'C 2 -2'
_cell_length_a 4.550
_cell_length_b 4.612
_cell_length_c 12.238
_cell_angle_alpha 90.00
_cell_angle_beta 90.00
_cell_angle_gamma 90.00
loop_
_atom_site_label
_atom_site_type_symbol
_atom_site_fract_x
_atom_site_fract_y
_atom_site_fract_z
K1 K 0.000 0.000 0.000
K2 K 0.000 0.500 0.346
Ta1 Ta 0.000 0.500 0.755
Pb1 Pb 0.000 0.000 0.579
```

Computed properties:
Crystal system   orthorhombic
DOS at the Fermi energy   0.46 states/eV per atom
Total magnetization   0.000 μB/cell
Mass density   6030 kg/m3
Formation energy   0.6812 eV per atom

The following is a DFT calculation (PBE) of KTa3Pb after structural relaxation.

```
data_KTa3Pb
_space_group_name_H-M_alt 'P m -3 m'
_space_group_IT_number 221
_space_group_name_Hall '-P 4 2 3'
_cell_length_a 4.762
_cell_length_b 4.762
_cell_length_c 4.762
_cell_angle_alpha 90.00
_cell_angle_beta 90.00
_cell_angle_gamma 90.00
loop_
_atom_site_label
_atom_site_type_symbol
_atom_site_fract_x
_atom_site_fract_y
_atom_site_fract_z
K1 K 0.000 0.000 0.000
Ta1 Ta 0.000 0.000 0.500
Pb1 Pb 0.500 0.500 0.500
```

Computed properties:
Relative energy among the computed polymorphs   454 meV/atom
Crystal system   cubic
DOS at the Fermi energy   1.02 states/eV per atom
Total magnetization   0.000 μB/cell
Mass density   12138 kg/m3
Formation energy   2.8526 eV per atom

The following is a DFT calculation (PBE) of KTaPb2 after structural relaxation.

```
data_KTaPb2
_space_group_name_H-M_alt 'P 4/m m m'
_space_group_IT_number 123
_space_group_name_Hall '-P 4 2'
_cell_length_a 3.273
_cell_length_b 3.273
_cell_length_c 9.923
_cell_angle_alpha 90.00
_cell_angle_beta 90.00
_cell_angle_gamma 90.00
loop_
_atom_site_label
_atom_site_type_symbol
_atom_site_fract_x
_atom_site_fract_y
_atom_site_fract_z
K1 K 0.000 0.000 0.000
Ta1 Ta 0.000 0.000 0.500
Pb1 Pb 0.500 0.500 0.285
```

Computed properties:
Relative energy among the computed polymorphs   0 meV/atom
Crystal system   tetragonal
DOS at the Fermi energy   0.28 states/eV per atom
Total magnetization   0.000 μB/cell
Mass density   9914 kg/m3
Formation energy   0.2458 eV per atom

The following is a DFT calculation (PBE) of KTaPb2 after structural relaxation.

```
data_KTaPb2
_space_group_name_H-M_alt 'F -4 3 m'
_space_group_IT_number 216
_space_group_name_Hall 'F -4 2 3'
_cell_length_a 7.768
_cell_length_b 7.768
_cell_length_c 7.768
_cell_angle_alpha 90.00
_cell_angle_beta 90.00
_cell_angle_gamma 90.00
loop_
_atom_site_label
_atom_site_type_symbol
_atom_site_fract_x
_atom_site_fract_y
_atom_site_fract_z
K1 K 0.000 0.000 0.000
Ta1 Ta 0.250 0.250 0.750
Pb1 Pb 0.000 0.000 0.500
Pb2 Pb 0.250 0.250 0.250
```

Computed properties:
Relative energy among the computed polymorphs   807 meV/atom
Crystal system   cubic
DOS at the Fermi energy   0.87 states/eV per atom
Total magnetization   12.551 μB/cell
Mass density   8990 kg/m3
Formation energy   1.0525 eV per atom

The following is a DFT calculation (PBE) of KTa2Pb after structural relaxation.

```
data_KTa2Pb
_space_group_name_H-M_alt 'P m m m'
_space_group_IT_number 47
_space_group_name_Hall '-P 2 2'
_cell_length_a 3.045
_cell_length_b 5.436
_cell_length_c 5.676
_cell_angle_alpha 90.00
_cell_angle_beta 90.00
_cell_angle_gamma 90.00
loop_
_atom_site_label
_atom_site_type_symbol
_atom_site_fract_x
_atom_site_fract_y
_atom_site_fract_z
K1 K 0.000 0.000 0.000
Ta1 Ta 0.000 0.500 0.500
Ta2 Ta 0.500 0.000 0.500
Pb1 Pb 0.500 0.500 0.000
```

Computed properties:
Crystal system   orthorhombic
DOS at the Fermi energy   1.05 states/eV per atom
Total magnetization   1.160 μB/cell
Mass density   10748 kg/m3
Formation energy   1.1849 eV per atom

The following is a DFT calculation (PBE) of KTaPb2 after structural relaxation.

```
data_KTaPb2
_space_group_name_H-M_alt 'C m m 2'
_space_group_IT_number 35
_space_group_name_Hall 'C 2 -2'
_cell_length_a 4.015
_cell_length_b 5.027
_cell_length_c 11.405
_cell_angle_alpha 90.00
_cell_angle_beta 90.00
_cell_angle_gamma 90.00
loop_
_atom_site_label
_atom_site_type_symbol
_atom_site_fract_x
_atom_site_fract_y
_atom_site_fract_z
K1 K 0.000 0.000 0.000
Ta1 Ta 0.000 0.500 0.267
Pb1 Pb 0.000 0.000 0.460
Pb2 Pb 0.000 0.500 0.715
```

Computed properties:
Relative energy among the computed polymorphs   448 meV/atom
Crystal system   orthorhombic
DOS at the Fermi energy   0.85 states/eV per atom
Total magnetization   0.000 μB/cell
Mass density   9154 kg/m3
Formation energy   0.6936 eV per atom